[1]
{
  "formula": "SrPaHg",
  "functional": "GGA-PBE",
  "state": "optimized geometry",
  "lattice_angstrom": [[0.0000, 3.6672, 3.6672], [3.6672, 0.0000, 3.6672], [3.6672, 3.6672, 0.0000]],
  "species": ["Sr", "Pa", "Hg"],
  "fractional_positions": [[0.0000, 0.0000, 0.0000], [0.7500, 0.7500, 0.7500], [0.5000, 0.5000, 0.5000]],
  "spacegroup": "F-43m (216)",
  "rho_g_cm3": 8.741,
  "final_energy_ev_per_atom": -2.867,
  "total_magnetization_mub_per_fu": 1.08
}

=====

[2]
{
  "formula": "YTc2B",
  "functional": "GGA-PBE",
  "state": "optimized geometry",
  "lattice_angstrom": [[2.7711, -1.5938, 0.0000], [2.7711, 1.5938, 0.0000], [-1.7886, 0.0000, 7.1692]],
  "species": ["Y", "Tc", "Tc", "B"],
  "fractional_positions": [[0.0000, 0.0000, 0.0000], [0.2170, 0.2170, 0.6569], [0.7830, 0.7830, 0.3431], [0.5000, 0.5000, 0.5000]],
  "spacegroup": "C2/m (12)",
  "rho_g_cm3": 7.754,
  "final_energy_ev_per_atom": -8.488,
  "total_magnetization_mub_per_fu": 0.01
}

=====

[3]
{
  "formula": "TaW",
  "functional": "GGA-PBE",
  "state": "optimized geometry",
  "lattice_angstrom": [[0.0000, 3.2377, 3.2377], [3.2377, 0.0000, 3.2377], [3.2377, 3.2377, 0.0000]],
  "species": ["Ta", "Ta", "W", "W"],
  "fractional_positions": [[0.1250, 0.1250, 0.1250], [0.8750, 0.8750, 0.8750], [0.3750, 0.3750, 0.3750], [0.6250, 0.6250, 0.6250]],
  "spacegroup": "Fd-3m (227)",
  "formation_energy_kcal_per_mol_atoms": -1.7,
  "rho_g_cm3": 17.848,
  "final_energy_ev_per_atom": -12.478,
  "total_magnetization_mub_per_fu": 0.00
}

=====

[4]
{
  "formula": "NdCu4Au",
  "functional": "GGA-PBE",
  "state": "optimized geometry",
  "lattice_angstrom": [[0.0000, 3.6064, 3.6064], [3.6064, 0.0000, 3.6064], [3.6064, 3.6064, 0.0000]],
  "species": ["Nd", "Cu", "Cu", "Cu", "Cu", "Au"],
  "fractional_positions": [[0.0000, 0.0000, 0.0000], [0.3765, 0.3765, 0.3765], [0.3765, 0.3765, 0.8706], [0.3765, 0.8706, 0.3765], [0.8706, 0.3765, 0.3765], [0.7500, 0.7500, 0.7500]],
  "spacegroup": "F-43m (216)",
  "formation_energy_kcal_per_mol_atoms": -6.8,
  "rho_g_cm3": 10.539,
  "final_energy_ev_per_atom": -4.109,
  "total_magnetization_mub_per_fu": 0.00
}

=====

[5]
{
  "formula": "BaZnSO",
  "functional": "GGA-PBE",
  "state": "optimized geometry",
  "lattice_angstrom": [[7.1432, 0.0000, 0.0000], [0.0000, 7.4644, 0.0000], [0.0000, 0.0000, 6.6410]],
  "species": ["Ba", "Ba", "Ba", "Ba", "Zn", "Zn", "Zn", "Zn", "S", "S", "S", "S", "O", "O", "O", "O"],
  "fractional_positions": [[0.0959, 0.1655, 0.0000], [0.4041, 0.1655, 0.5000], [0.5959, 0.8345, 0.0000], [0.9041, 0.8345, 0.5000], [0.0635, 0.6427, 0.0657], [0.4365, 0.6427, 0.5657], [0.5635, 0.3573, 0.0657], [0.9365, 0.3573, 0.5657], [0.1530, 0.5614, 0.7385], [0.3470, 0.5614, 0.2385], [0.6530, 0.4386, 0.7385], [0.8470, 0.4386, 0.2385], [0.0569, 0.1281, 0.6087], [0.4431, 0.1281, 0.1087], [0.5569, 0.8719, 0.6087], [0.9431, 0.8719, 0.1087]],
  "spacegroup": "Pca2_1 (29)",
  "rho_g_cm3": 4.705,
  "final_energy_ev_per_atom": -4.756
}

=====

[6]
{
  "formula": "Rb2YTmSe4",
  "functional": "GGA-PBE",
  "state": "optimized geometry",
  "lattice_angstrom": [[4.2028, 0.0000, 0.0000], [-2.1014, 3.6397, 0.0000], [0.0000, 0.0000, 15.9625]],
  "species": ["Rb", "Rb", "Y", "Tm", "Se", "Se", "Se", "Se"],
  "fractional_positions": [[0.3333, 0.6667, 0.2496], [0.6667, 0.3333, 0.7504], [0.0000, 0.0000, 0.5000], [0.0000, 0.0000, 0.0000], [0.3333, 0.6667, 0.5991], [0.3333, 0.6667, 0.9035], [0.6667, 0.3333, 0.0965], [0.6667, 0.3333, 0.4009]],
  "spacegroup": "P-3m1 (164)",
  "rho_g_cm3": 5.064,
  "final_energy_ev_per_atom": -5.085,
  "total_magnetization_mub_per_fu": 0.00
}